Compound: Nd2Zn12GaCu3
Source: Alexandria
Functional: PBE
Structure: relaxed

a b c (Å): 8.3792 8.3792 18.6232
angles (deg): 90.00 90.00 120.00
Space group R-3m (No. 166, hexagonal axes)
Symmetry-distinct sites (fractional):
Nd: 0.0000 0.0000 0.0987 (multiplicity 6)
Zn: 0.0028 0.5014 0.1341 (multiplicity 18)
Zn: 0.0961 0.5481 0.3934 (multiplicity 18)
Ga: 0.0000 0.0000 0.5000 (multiplicity 3)
Cu: 0.0000 0.5000 0.0000 (multiplicity 9)

Energy of formation: 218 meV/atom
Total magnetization: 0.00 μB/f.u.
Raw total energy: -2.01 eV per atom